First-principles (PBE+U) data for a relaxed ZnMo2P2O10 crystal, as listed in Alexandria via LeMat-Bulk.

The structure in POSCAR format:
```
ZnMo2P2O10
1.0
1.857 -5.574 8.701
0.492 1.494 9.110
-4.945 -4.604 2.517
Zn Mo P O
2 4 4 20
Direct
0.752 0.748 0.748
0.502 0.498 0.498
0.388 0.886 0.334
0.392 0.334 0.886
0.364 0.862 0.858
0.916 0.858 0.862
0.561 0.019 0.440
0.231 0.689 0.270
0.980 0.440 0.019
0.810 0.270 0.689
0.738 0.584 0.214
0.222 0.616 0.792
0.674 0.284 0.631
0.036 0.785 0.512
0.101 0.211 0.918
0.115 0.410 0.090
0.634 0.028 0.881
0.369 0.792 0.616
0.458 0.881 0.028
0.039 0.149 0.479
0.465 0.214 0.584
0.332 0.479 0.149
0.771 0.918 0.211
0.840 0.135 0.865
0.385 0.090 0.410
0.160 0.865 0.135
0.619 0.838 0.576
0.412 0.631 0.284
0.666 0.512 0.785
0.966 0.576 0.838
```

Results
VASP energy ... -6.929 eV per atom